# 1
Entry from the Alexandria database: a relaxed structure of Sn2BF7 (PBE-GGA).

Results
Energy (eV per atom): -5.332
Formation energy without anion corrections (meV/atom): -2553

```
Sn2BF7
1.0
8.769 0.000 0.000
0.000 5.456 0.000
0.000 0.000 14.468
Sn B F
8 4 28
Direct
0.013 0.250 0.186
0.217 0.750 0.448
0.283 0.250 0.948
0.487 0.750 0.686
0.513 0.250 0.314
0.717 0.750 0.052
0.783 0.250 0.552
0.987 0.750 0.814
0.183 0.250 0.628
0.317 0.750 0.128
0.683 0.250 0.872
0.817 0.750 0.372
0.096 0.250 0.043
0.100 0.037 0.653
0.100 0.463 0.653
0.159 0.501 0.861
0.159 0.999 0.861
0.172 0.750 0.171
0.201 0.250 0.530
0.299 0.750 0.030
0.328 0.250 0.671
0.341 0.001 0.361
0.341 0.499 0.361
0.400 0.537 0.153
0.400 0.963 0.153
0.404 0.750 0.543
0.596 0.250 0.457
0.600 0.037 0.847
0.600 0.463 0.847
0.659 0.501 0.639
0.659 0.999 0.639
0.672 0.750 0.329
0.701 0.250 0.970
0.799 0.750 0.470
0.828 0.250 0.829
0.841 0.001 0.139
0.841 0.499 0.139
0.900 0.537 0.347
0.900 0.963 0.347
0.904 0.750 0.957
```

---

# 2
Entry from the Alexandria database: a relaxed structure of TlSnB2F8 (PBE-GGA).

Results
Energy (eV per atom): -5.325
Formation energy without anion corrections (meV/atom): -2434

```
TlSnB2F8
1.0
2.414 1.394 9.945
-2.414 1.394 9.945
0.000 -2.787 9.945
Tl Sn B F
1 1 2 8
Direct
0.000 0.000 0.000
0.500 0.500 0.500
0.255 0.255 0.255
0.745 0.745 0.745
0.045 0.489 0.746
0.254 0.955 0.511
0.303 0.303 0.303
0.489 0.746 0.045
0.511 0.254 0.955
0.697 0.697 0.697
0.746 0.045 0.489
0.955 0.511 0.254
```

---

# 3
Entry from the Alexandria database: a relaxed structure of ZnSn2BF (PBE-GGA).

Results
Energy (eV per atom): -3.089
Formation energy without anion corrections (meV/atom): 477

```
ZnSn2BF
1.0
5.250 0.000 0.000
0.000 5.250 0.000
0.000 0.000 3.886
Zn Sn B F
1 2 1 1
Direct
0.000 0.000 0.000
0.000 0.500 0.000
0.500 0.000 0.000
0.500 0.500 0.500
0.000 0.000 0.500
```

---

# 4
Entry from the Alexandria database: a relaxed structure of Sr2BF (PBE-GGA).

Results
Energy (eV per atom): -3.650
Offset from the most stable computed form (eV per atom): 0.193
Formation energy without anion corrections (meV/atom): -672

```
Sr2BF
1.0
0.000 3.509 3.509
3.509 0.000 3.509
3.509 3.509 0.000
Sr B F
2 1 1
Direct
0.250 0.250 0.250
0.750 0.750 0.750
0.000 0.000 0.000
0.500 0.500 0.500
```

---

# 5
Entry from the Alexandria database: a relaxed structure of SrBF3 (PBE-GGA).

Results
Energy (eV per atom): -4.377
Formation energy without anion corrections (meV/atom): -1582

```
SrBF3
1.0
4.704 0.000 0.000
0.000 4.704 0.000
0.000 0.000 4.704
Sr B F
1 1 3
Direct
0.000 0.000 0.000
0.500 0.500 0.500
0.000 0.000 0.500
0.000 0.500 0.000
0.500 0.000 0.000
```

---

# 6
Entry from the Alexandria database: a relaxed structure of SrBF6 (PBE-GGA).

Results
Energy (eV per atom): -5.009
Formation energy without anion corrections (meV/atom): -2560

```
SrBF6
1.0
3.448 1.991 2.192
-3.448 1.991 2.192
0.000 -3.981 2.192
Sr B F
1 1 6
Direct
0.000 0.000 0.000
0.500 0.500 0.500
0.246 0.246 0.574
0.246 0.574 0.246
0.426 0.754 0.754
0.574 0.246 0.246
0.754 0.426 0.754
0.754 0.754 0.426
```